1.
Density functional theory data (GGA-PBEsol) for an optimized crystal structure of BaPI2O.

Cell and atoms, written as CIF:
```
data_BaPI2O
_symmetry_space_group_name_H-M 'P 4/m m m'
_symmetry_Int_Tables_number 123
_symmetry_space_group_name_Hall '-P 4 2'
_cell_length_a 6.658
_cell_length_b 6.658
_cell_length_c 4.396
_cell_angle_alpha 90.00
_cell_angle_beta 90.00
_cell_angle_gamma 90.00
loop_
_atom_site_label
_atom_site_type_symbol
_atom_site_fract_x
_atom_site_fract_y
_atom_site_fract_z
Ba1 Ba 0.000 0.000 0.000
P1 P 0.500 0.500 0.500
I1 I 0.000 0.500 0.000
O1 O 0.000 0.000 0.500
```

Properties
The formation energy from raw total energies comes out at 9 kJ/mol of atoms. The density of states at the Fermi level is 5.250 states/eV/cell. The total energy is -3.255 eV per atom. The volume is 39.0 A^3/atom.



2.
Density functional theory data (GGA-PBEsol) for an optimized crystal structure of RbBaIO2.

Cell and atoms, written as CIF:
```
data_RbBaIO2
_symmetry_space_group_name_H-M 'P 4/m m m'
_symmetry_Int_Tables_number 123
_symmetry_space_group_name_Hall '-P 4 2'
_cell_length_a 4.959
_cell_length_b 4.959
_cell_length_c 6.273
_cell_angle_alpha 90.00
_cell_angle_beta 90.00
_cell_angle_gamma 90.00
loop_
_atom_site_label
_atom_site_type_symbol
_atom_site_fract_x
_atom_site_fract_y
_atom_site_fract_z
Rb1 Rb 0.000 0.000 0.000
Ba1 Ba 0.500 0.500 0.500
I1 I 0.000 0.000 0.500
O1 O 0.000 0.500 0.000
```

Properties
The value obtained for the energy relative to the lowest polymorph listed for this composition is 517.9 meV per atom. The formation energy from raw total energies comes out at -50 kJ/mol of atoms. The density of states at the Fermi level is 2.983 states/eV/cell. The total energy is -3.603 eV per atom. The volume is 30.9 A^3/atom.



3.
Density functional theory data (GGA-PBEsol) for an optimized crystal structure of RbBaIO2.

Cell and atoms, written as CIF:
```
data_RbBaIO2
_symmetry_space_group_name_H-M 'P 4/m m m'
_symmetry_Int_Tables_number 123
_symmetry_space_group_name_Hall '-P 4 2'
_cell_length_a 5.002
_cell_length_b 5.002
_cell_length_c 7.016
_cell_angle_alpha 90.00
_cell_angle_beta 90.00
_cell_angle_gamma 90.00
loop_
_atom_site_label
_atom_site_type_symbol
_atom_site_fract_x
_atom_site_fract_y
_atom_site_fract_z
Rb1 Rb 0.000 0.000 0.000
Ba1 Ba 0.500 0.500 0.500
I1 I 0.500 0.500 0.000
O1 O 0.000 0.500 0.500
```

Properties
The value obtained for the energy relative to the lowest polymorph listed for this composition is 0.0 meV per atom. The formation energy from raw total energies comes out at -100 kJ/mol of atoms. The density of states at the Fermi level is 3.949 states/eV/cell. The total energy is -4.121 eV per atom. The volume is 35.1 A^3/atom.



4.
Density functional theory data (GGA-PBEsol) for an optimized crystal structure of BaSbI2O.

Cell and atoms, written as CIF:
```
data_BaSbI2O
_symmetry_space_group_name_H-M 'P 4/m m m'
_symmetry_Int_Tables_number 123
_symmetry_space_group_name_Hall '-P 4 2'
_cell_length_a 6.223
_cell_length_b 6.223
_cell_length_c 4.066
_cell_angle_alpha 90.00
_cell_angle_beta 90.00
_cell_angle_gamma 90.00
loop_
_atom_site_label
_atom_site_type_symbol
_atom_site_fract_x
_atom_site_fract_y
_atom_site_fract_z
Ba1 Ba 0.000 0.000 0.000
Sb1 Sb 0.500 0.500 0.000
I1 I 0.000 0.500 0.500
O1 O 0.500 0.500 0.500
```

Properties
The formation energy from raw total energies comes out at -73 kJ/mol of atoms. The density of states at the Fermi level is 1.982 states/eV/cell. The total energy is -3.852 eV per atom. The volume is 31.5 A^3/atom.